Entry 1:
DFT (PBE) results for an optimized crystal structure of RbMgNb2N.

Electronic total energy in eV/atom: -3.29

```
data_RbMgNb2N
_chemical_formula_sum 'Rb1 Mg1 Nb2 N1'
_cell_length_a 4.984
_cell_length_b 4.984
_cell_length_c 4.427
_cell_angle_alpha 90.00
_cell_angle_beta 90.00
_cell_angle_gamma 90.00
_space_group_name_H-M_alt 'P 4/m m m'
_space_group_IT_number 123
_space_group_name_Hall '-P 4 2'
loop_
_atom_site_label
_atom_site_fract_x
_atom_site_fract_y
_atom_site_fract_z
Rb1 0.000 0.000 0.000
Mg1 0.500 0.500 0.500
Nb1 0.000 0.500 0.000
N1 0.000 0.000 0.500
```


Entry 2:
DFT (PBE) results for an optimized crystal structure of PaTl2PdS4.

Electronic total energy in eV/atom: -5.30

```
data_PaTl2PdS4
_chemical_formula_sum 'Pa1 Tl2 Pd1 S4'
_cell_length_a 6.010
_cell_length_b 4.111
_cell_length_c 8.176
_cell_angle_alpha 90.00
_cell_angle_beta 108.36
_cell_angle_gamma 90.00
_space_group_name_H-M_alt 'P 1 2/m 1'
_space_group_IT_number 10
loop_
_space_group_symop_operation_xyz
'x,y,z'
'-x,-y,-z'
'-x,y,-z'
'x,-y,z'
loop_
_atom_site_label
_atom_site_fract_x
_atom_site_fract_y
_atom_site_fract_z
Pa1 0.000 0.000 0.000
Tl1 0.000 0.500 0.500
Tl2 0.500 0.000 0.500
Pd1 0.500 0.500 0.000
S1 0.248 0.500 0.187
S2 0.256 0.000 0.799
```


Entry 3:
DFT (PBE) results for an optimized crystal structure of LiBiP2Cl.

Electronic total energy in eV/atom: -3.25
Excess energy over the best structure of this formula in the dataset in eV per formula unit: 0.614

```
data_LiBiP2Cl
_chemical_formula_sum 'Li1 Bi1 P2 Cl1'
_cell_length_a 5.326
_cell_length_b 5.326
_cell_length_c 5.644
_cell_angle_alpha 90.00
_cell_angle_beta 90.00
_cell_angle_gamma 90.00
_space_group_name_H-M_alt 'P 4/m m m'
_space_group_IT_number 123
_space_group_name_Hall '-P 4 2'
loop_
_atom_site_label
_atom_site_fract_x
_atom_site_fract_y
_atom_site_fract_z
Li1 0.000 0.000 0.000
Bi1 0.500 0.500 0.500
P1 0.000 0.500 0.500
Cl1 0.500 0.500 0.000
```


Entry 4:
DFT (PBE) results for an optimized crystal structure of TmTcGe.

Electronic total energy in eV/atom: -6.90
Excess energy over the best structure of this formula in the dataset in eV per formula unit: 0.422
Calculated formation energy in eV/atom: -0.42

```
data_TmTcGe
_chemical_formula_sum 'Tm2 Tc2 Ge2'
_cell_length_a 3.349
_cell_length_b 3.349
_cell_length_c 9.894
_cell_angle_alpha 90.00
_cell_angle_beta 90.00
_cell_angle_gamma 90.00
_space_group_name_H-M_alt 'I 4 m m'
_space_group_IT_number 107
_space_group_name_Hall 'I 4 -2'
loop_
_atom_site_label
_atom_site_fract_x
_atom_site_fract_y
_atom_site_fract_z
Tm1 0.000 0.000 0.000
Tc1 0.000 0.000 0.691
Ge1 0.000 0.000 0.300
```


Entry 5:
DFT (PBE) results for an optimized crystal structure of LaYBi.

Electronic total energy in eV/atom: -5.46
Calculated formation energy in eV/atom: -0.37

```
data_LaYBi
_chemical_formula_sum 'La1 Y1 Bi1'
_cell_length_a 5.2936
_cell_length_b 5.2936
_cell_length_c 4.1665
_cell_angle_alpha 90.00
_cell_angle_beta 90.00
_cell_angle_gamma 120.00
_space_group_name_H-M_alt 'P 3 m 1'
_space_group_IT_number 156
loop_
_space_group_symop_operation_xyz
'x,y,z'
'-y,x-y,z'
'-x+y,-x,z'
'-y,-x,z'
'-x+y,y,z'
'x,x-y,z'
loop_
_atom_site_label
_atom_site_fract_x
_atom_site_fract_y
_atom_site_fract_z
La1 0.0000 0.0000 0.0000
Y1 0.3333 0.6667 0.5163
Bi1 0.6667 0.3333 0.4070
```


Entry 6:
DFT (PBE) results for an optimized crystal structure of PuPa2P.

Electronic total energy in eV/atom: -9.82
Excess energy over the best structure of this formula in the dataset in eV per formula unit: 1.391
Calculated formation energy in eV/atom: -0.14

```
data_PuPa2P
_chemical_formula_sum 'Pu3 Pa6 P3'
_cell_length_a 3.4640
_cell_length_b 3.4640
_cell_length_c 28.7900
_cell_angle_alpha 90.00
_cell_angle_beta 90.00
_cell_angle_gamma 120.00
_space_group_name_H-M_alt 'R -3 m'
_space_group_IT_number 166
_space_group_name_Hall '-R 3 2"'
loop_
_atom_site_label
_atom_site_fract_x
_atom_site_fract_y
_atom_site_fract_z
Pu1 0.0000 0.0000 0.0000
Pa1 0.0000 0.0000 0.1022
P1 0.0000 0.0000 0.5000
```


Entry 7:
DFT (PBE) results for an optimized crystal structure of UIn2F4.

Electronic total energy in eV/atom: -5.86

```
data_UIn2F4
_chemical_formula_sum 'U2 In4 F8'
_cell_length_a 4.565
_cell_length_b 4.565
_cell_length_c 18.554
_cell_angle_alpha 90.00
_cell_angle_beta 90.00
_cell_angle_gamma 90.00
_space_group_name_H-M_alt 'I 4/m m m'
_space_group_IT_number 139
_space_group_name_Hall '-I 4 2'
loop_
_atom_site_label
_atom_site_fract_x
_atom_site_fract_y
_atom_site_fract_z
U1 0.000 0.000 0.000
In1 0.000 0.000 0.251
F1 0.000 0.000 0.116
F2 0.000 0.500 0.000
```


Entry 8:
DFT (PBE) results for an optimized crystal structure of ScMn6Co6.

Electronic total energy in eV/atom: -8.01
Calculated formation energy in eV/atom: -0.02

```
data_ScMn6Co6
_chemical_formula_sum 'Sc2 Mn12 Co12'
_cell_length_a 4.669
_cell_length_b 8.132
_cell_length_c 8.161
_cell_angle_alpha 90.00
_cell_angle_beta 90.00
_cell_angle_gamma 90.00
_space_group_name_H-M_alt 'I m m m'
_space_group_IT_number 71
_space_group_name_Hall '-I 2 2'
loop_
_atom_site_label
_atom_site_fract_x
_atom_site_fract_y
_atom_site_fract_z
Sc1 0.000 0.000 0.000
Mn1 0.000 0.000 0.348
Mn2 0.000 0.372 0.000
Mn3 0.000 0.500 0.299
Co1 0.000 0.275 0.500
Co2 0.250 0.250 0.250
```


Entry 9:
DFT (PBE) results for an optimized crystal structure of PmZr3Pt2.

Electronic total energy in eV/atom: -7.76
Calculated formation energy in eV/atom: -0.68

```
data_PmZr3Pt2
_chemical_formula_sum 'Pm4 Zr12 Pt8'
_cell_length_a 16.562
_cell_length_b 4.767
_cell_length_c 8.108
_cell_angle_alpha 90.00
_cell_angle_beta 119.15
_cell_angle_gamma 90.00
_space_group_name_H-M_alt 'C 1 2/m 1'
_space_group_IT_number 12
loop_
_space_group_symop_operation_xyz
'x,y,z'
'-x,-y,-z'
'-x,y,-z'
'x,-y,z'
'x+1/2,y+1/2,z'
'-x+1/2,-y+1/2,-z'
'-x+1/2,y+1/2,-z'
'x+1/2,-y+1/2,z'
loop_
_atom_site_label
_atom_site_fract_x
_atom_site_fract_y
_atom_site_fract_z
Pm1 0.154 0.000 0.067
Zr1 0.051 0.000 0.377
Zr2 0.097 0.500 0.686
Zr3 0.199 0.500 0.421
Pt1 0.018 0.500 0.173
Pt2 0.191 0.000 0.736
```


Entry 10:
DFT (PBE) results for an optimized crystal structure of Cd2SnPd2.

Electronic total energy in eV/atom: -3.25
Excess energy over the best structure of this formula in the dataset in eV per formula unit: 1.900
Calculated formation energy in eV/atom: 0.00

```
data_Cd2SnPd2
_chemical_formula_sum 'Cd4 Sn2 Pd4'
_cell_length_a 4.059
_cell_length_b 4.059
_cell_length_c 13.091
_cell_angle_alpha 90.00
_cell_angle_beta 90.00
_cell_angle_gamma 90.00
_space_group_name_H-M_alt 'I 4/m m m'
_space_group_IT_number 139
_space_group_name_Hall '-I 4 2'
loop_
_atom_site_label
_atom_site_fract_x
_atom_site_fract_y
_atom_site_fract_z
Cd1 0.000 0.000 0.110
Sn1 0.000 0.000 0.500
Pd1 0.000 0.500 0.250
```


Entry 11:
DFT (PBE) results for an optimized crystal structure of AcHo2Al.

Electronic total energy in eV/atom: -4.31
Excess energy over the best structure of this formula in the dataset in eV per formula unit: 0.360
Calculated formation energy in eV/atom: -0.06

```
data_AcHo2Al
_chemical_formula_sum 'Ac1 Ho2 Al1'
_cell_length_a 4.920
_cell_length_b 4.920
_cell_length_c 4.962
_cell_angle_alpha 90.00
_cell_angle_beta 90.00
_cell_angle_gamma 90.00
_space_group_name_H-M_alt 'P 4/m m m'
_space_group_IT_number 123
_space_group_name_Hall '-P 4 2'
loop_
_atom_site_label
_atom_site_fract_x
_atom_site_fract_y
_atom_site_fract_z
Ac1 0.000 0.000 0.000
Ho1 0.000 0.500 0.500
Al1 0.500 0.500 0.000
```


Entry 12:
DFT (PBE) results for an optimized crystal structure of In2CuTcRh.

Electronic total energy in eV/atom: -4.49
Calculated formation energy in eV/atom: 0.96

```
data_In2CuTcRh
_chemical_formula_sum 'In2 Cu1 Tc1 Rh1'
_cell_length_a 5.186
_cell_length_b 5.186
_cell_length_c 4.628
_cell_angle_alpha 90.00
_cell_angle_beta 90.00
_cell_angle_gamma 90.00
_space_group_name_H-M_alt 'P 4/m m m'
_space_group_IT_number 123
_space_group_name_Hall '-P 4 2'
loop_
_atom_site_label
_atom_site_fract_x
_atom_site_fract_y
_atom_site_fract_z
In1 0.000 0.500 0.000
Cu1 0.000 0.000 0.500
Tc1 0.500 0.500 0.000
Rh1 0.500 0.500 0.500
```